(A)
Here is an optimized crystal structure of HfSc5 from Alexandria. Energies are from GGA-PBE.

Geometry as POSCAR:
```
HfSc5
1.0
3.426 0.000 0.000
0.000 5.209 0.000
0.000 -2.605 8.039
Sc Hf
5 1
direct
0.000 0.654 0.308 Sc
0.000 0.346 0.692 Sc
0.500 0.500 0.000 Sc
0.500 0.175 0.349 Sc
0.500 0.825 0.651 Sc
0.000 0.000 0.000 Hf
```

Calculated values
DOS(E_F) (states/eV/cell): 12.07
Total magnetization (μB per formula unit): 0.0
Symmetry: Cmmm


(B)
Here is an optimized crystal structure of HfSc5 from Alexandria. Energies are from GGA-PBE.

Geometry as POSCAR:
```
HfSc5
1.0
5.468 -1.145 0.000
-2.572 5.919 0.000
0.000 0.000 9.702
Hf Sc
2 10
direct
0.750 0.500 0.250 Hf
0.250 0.500 0.750 Hf
0.750 0.000 0.250 Sc
0.250 0.000 0.750 Sc
0.250 0.000 0.411 Sc
0.750 0.000 0.911 Sc
0.750 0.000 0.589 Sc
0.250 0.000 0.089 Sc
0.250 0.500 0.417 Sc
0.750 0.500 0.917 Sc
0.750 0.500 0.583 Sc
0.250 0.500 0.083 Sc
```

Calculated values
DOS(E_F) (states/eV/cell): 18.42
Total magnetization (μB per formula unit): 0.0
Symmetry: C2/m


Most stable pick: (B). Distance to second place: 78 meV/atom.


(A)
Here is an optimized crystal structure of HfSc8 from Alexandria. Energies are from GGA-PBE.

Geometry as POSCAR:
```
HfSc8
1.0
4.566 0.000 0.000
2.283 6.895 0.000
2.283 0.000 6.895
Hf Sc
1 8
direct
0.000 0.000 0.000 Hf
0.339 0.000 0.323 Sc
0.661 0.000 0.677 Sc
0.661 0.677 0.000 Sc
0.000 0.672 0.328 Sc
0.328 0.672 0.672 Sc
0.672 0.328 0.328 Sc
0.000 0.328 0.672 Sc
0.339 0.323 0.000 Sc
```

Calculated values
DOS(E_F) (states/eV/cell): 15.12
Total magnetization (μB per formula unit): 0.0
Symmetry: I4/mmm


(B)
Here is an optimized crystal structure of HfSc8 from Alexandria. Energies are from GGA-PBE.

Geometry as POSCAR:
```
HfSc8
1.0
3.318 0.000 0.766
1.659 8.012 0.383
-0.144 0.000 8.190
Hf Sc
1 8
direct
0.000 0.000 0.000 Hf
0.663 0.000 0.674 Sc
0.337 0.000 0.326 Sc
0.332 0.668 0.668 Sc
0.663 0.674 0.000 Sc
0.000 0.668 0.332 Sc
0.337 0.326 0.000 Sc
0.668 0.332 0.332 Sc
0.000 0.332 0.668 Sc
```

Calculated values
DOS(E_F) (states/eV/cell): 21.21
Total magnetization (μB per formula unit): 0.0
Symmetry: I4/mmm


Most stable pick: (A). Distance to second place: 79 meV/atom.


(A)
Here is an optimized crystal structure of HfSc3Se from Alexandria. Energies are from GGA-PBE.

Geometry as POSCAR:
```
HfSc3Se
1.0
5.192 0.000 0.000
0.000 5.192 0.000
0.000 0.000 5.192
Sc Hf Se
3 1 1
direct
0.000 0.500 0.000 Sc
0.000 0.000 0.500 Sc
0.500 0.000 0.000 Sc
0.000 0.000 0.000 Hf
0.500 0.500 0.500 Se
```

Calculated values
DOS(E_F) (states/eV/cell): 3.79
Total magnetization (μB per formula unit): 0.0
Symmetry: Pm-3m


(B)
Here is an optimized crystal structure of HfSc3Se from Alexandria. Energies are from GGA-PBE.

Geometry as POSCAR:
```
HfSc3Se
1.0
-0.328 0.375 -4.972
0.178 -4.978 -0.388
-4.982 -0.203 0.313
Sc Hf Se
3 1 1
direct
0.000 0.500 0.000 Sc
0.000 0.000 0.500 Sc
0.500 0.000 0.000 Sc
0.500 0.500 0.500 Hf
0.000 0.000 0.000 Se
```

Calculated values
DOS(E_F) (states/eV/cell): 8.40
Total magnetization (μB per formula unit): 0.0
Symmetry: Pm-3m


Most stable pick: (B). Distance to second place: 881 meV/atom.


(A)
Here is an optimized crystal structure of HfScSe3 from Alexandria. Energies are from GGA-PBE.

Geometry as POSCAR:
```
HfScSe3
1.0
-2.405 -1.298 4.342
3.693 -3.410 1.026
2.626 3.607 2.533
Sc Hf Se
1 1 3
direct
0.500 0.500 0.500 Sc
0.000 0.000 0.000 Hf
0.000 0.500 0.000 Se
0.000 0.000 0.500 Se
0.500 0.000 0.000 Se
```

Calculated values
DOS(E_F) (states/eV/cell): 9.57
Total magnetization (μB per formula unit): 0.9
Symmetry: Pm-3m


(B)
Here is an optimized crystal structure of HfScSe3 from Alexandria. Energies are from GGA-PBE.

Geometry as POSCAR:
```
HfScSe3
1.0
5.026 0.000 0.000
0.000 5.026 0.000
0.000 0.000 5.026
Sc Hf Se
1 1 3
direct
0.000 0.000 0.000 Sc
0.500 0.500 0.500 Hf
0.000 0.500 0.000 Se
0.000 0.000 0.500 Se
0.500 0.000 0.000 Se
```

Calculated values
DOS(E_F) (states/eV/cell): 4.28
Total magnetization (μB per formula unit): 0.9
Symmetry: Pm-3m


Most stable pick: (A). Distance to second place: 382 meV/atom.


(A)
Here is an optimized crystal structure of HfScSe3 from Alexandria. Energies are from GGA-PBE.

Geometry as POSCAR:
```
HfScSe3
1.0
-4.747 2.557 3.752
-5.278 -3.671 1.574
1.303 -1.152 6.353
Hf Sc Se
2 2 6
direct
0.336 0.327 0.500 Hf
0.664 0.673 0.500 Hf
0.165 0.669 0.000 Sc
0.835 0.331 0.000 Sc
0.748 0.000 0.249 Se
0.252 0.000 0.751 Se
0.084 0.329 0.254 Se
0.587 0.329 0.746 Se
0.916 0.671 0.746 Se
0.413 0.671 0.254 Se
```

Calculated values
DOS(E_F) (states/eV/cell): 2.47
Total magnetization (μB per formula unit): 0.0
Symmetry: C2/m


(B)
Here is an optimized crystal structure of HfScSe3 from Alexandria. Energies are from GGA-PBE.

Geometry as POSCAR:
```
HfScSe3
1.0
3.979 0.000 0.000
0.000 6.708 -0.450
0.000 -3.813 10.094
Hf Sc Se
2 2 6
direct
0.250 0.102 0.647 Hf
0.750 0.898 0.353 Hf
0.250 0.180 0.162 Sc
0.750 0.820 0.838 Sc
0.250 0.125 0.901 Se
0.750 0.875 0.099 Se
0.250 0.172 0.417 Se
0.750 0.828 0.583 Se
0.250 0.526 0.763 Se
0.750 0.474 0.237 Se
```

Calculated values
DOS(E_F) (states/eV/cell): 4.24
Total magnetization (μB per formula unit): 0.0
Symmetry: P2_1/m


Most stable pick: (A). Distance to second place: 148 meV/atom.


(A)
Here is an optimized crystal structure of HfScSe2 from Alexandria. Energies are from GGA-PBE.

Geometry as POSCAR:
```
HfScSe2
1.0
-1.763 1.744 2.610
-3.441 0.947 -0.474
-3.843 -5.376 3.480
Hf Sc Se
1 1 2
direct
0.667 0.667 0.000 Hf
0.500 0.500 0.499 Sc
0.082 0.082 0.753 Se
0.251 0.251 0.248 Se
```

Calculated values
DOS(E_F) (states/eV/cell): 3.95
Total magnetization (μB per formula unit): 0.0
Symmetry: R3m


(B)
Here is an optimized crystal structure of HfScSe2 from Alexandria. Energies are from GGA-PBE.

Geometry as POSCAR:
```
HfScSe2
1.0
3.718 0.000 0.000
-1.859 3.220 0.000
0.000 0.000 7.445
Hf Sc Se
1 1 2
direct
0.000 0.000 0.416 Hf
0.333 0.667 0.982 Sc
0.667 0.333 0.201 Se
0.000 0.000 0.766 Se
```

Calculated values
DOS(E_F) (states/eV/cell): 3.18
Total magnetization (μB per formula unit): 0.0
Symmetry: P3m1


Most stable pick: (A). Distance to second place: 133 meV/atom.


(A)
Here is an optimized crystal structure of HfSc3Si from Alexandria. Energies are from GGA-PBE.

Geometry as POSCAR:
```
HfSc3Si
1.0
5.007 0.000 0.000
0.000 5.007 0.000
0.000 0.000 5.007
Sc Si Hf
3 1 1
direct
0.000 0.500 0.000 Sc
0.000 0.000 0.500 Sc
0.500 0.000 0.000 Sc
0.000 0.000 0.000 Si
0.500 0.500 0.500 Hf
```

Calculated values
DOS(E_F) (states/eV/cell): 8.43
Total magnetization (μB per formula unit): 2.3
Symmetry: Pm-3m


(B)
Here is an optimized crystal structure of HfSc3Si from Alexandria. Energies are from GGA-PBE.

Geometry as POSCAR:
```
HfSc3Si
1.0
5.095 0.000 0.000
0.000 5.095 0.000
0.000 0.000 5.095
Sc Si Hf
3 1 1
direct
0.000 0.500 0.000 Sc
0.000 0.000 0.500 Sc
0.500 0.000 0.000 Sc
0.500 0.500 0.500 Si
0.000 0.000 0.000 Hf
```

Calculated values
DOS(E_F) (states/eV/cell): 4.65
Total magnetization (μB per formula unit): 0.0
Symmetry: Pm-3m


Most stable pick: (A). Distance to second place: 764 meV/atom.


(A)
Here is an optimized crystal structure of HfScSi2 from Alexandria. Energies are from GGA-PBE.

Geometry as POSCAR:
```
HfScSi2
1.0
-0.101 -6.531 3.036
5.355 -2.099 -4.336
4.595 -3.417 1.347
Sc Si Hf
2 4 2
direct
0.500 0.500 0.000 Sc
0.250 0.750 0.500 Sc
0.626 0.125 0.250 Si
0.124 0.625 0.250 Si
0.375 0.374 0.750 Si
0.875 0.876 0.750 Si
0.000 0.000 0.000 Hf
0.750 0.250 0.500 Hf
```

Calculated values
DOS(E_F) (states/eV/cell): 5.36
Total magnetization (μB per formula unit): 0.0
Symmetry: I-42d


(B)
Here is an optimized crystal structure of HfScSi2 from Alexandria. Energies are from GGA-PBE.

Geometry as POSCAR:
```
HfScSi2
1.0
-0.655 0.389 -3.644
-3.476 -0.262 -1.305
-2.174 6.486 -0.819
Sc Si Hf
1 2 1
direct
0.500 0.500 0.500 Sc
0.252 0.252 0.245 Si
0.748 0.748 0.755 Si
0.000 0.000 0.000 Hf
```

Calculated values
DOS(E_F) (states/eV/cell): 1.90
Total magnetization (μB per formula unit): 0.0
Symmetry: R-3m


Most stable pick: (B). Distance to second place: 220 meV/atom.


(A)
Here is an optimized crystal structure of Hf3ScSi from Alexandria. Energies are from GGA-PBE.

Geometry as POSCAR:
```
Hf3ScSi
1.0
-2.022 -1.402 4.296
3.040 -3.904 0.157
3.343 2.702 2.456
Sc Si Hf
1 1 3
direct
0.500 0.500 0.500 Sc
0.000 0.000 0.000 Si
0.000 0.500 0.000 Hf
0.000 0.000 0.500 Hf
0.500 0.000 0.000 Hf
```

Calculated values
DOS(E_F) (states/eV/cell): 5.61
Total magnetization (μB per formula unit): 0.0
Symmetry: Pm-3m


(B)
Here is an optimized crystal structure of Hf3ScSi from Alexandria. Energies are from GGA-PBE.

Geometry as POSCAR:
```
Hf3ScSi
1.0
-0.812 4.449 -1.953
-4.845 -0.890 -0.013
-0.364 1.919 4.523
Sc Si Hf
1 1 3
direct
0.000 0.000 0.000 Sc
0.500 0.500 0.500 Si
0.000 0.500 0.000 Hf
0.000 0.000 0.500 Hf
0.500 0.000 0.000 Hf
```

Calculated values
DOS(E_F) (states/eV/cell): 8.40
Total magnetization (μB per formula unit): 0.0
Symmetry: Pm-3m


Most stable pick: (A). Distance to second place: 1239 meV/atom.


(A)
Here is an optimized crystal structure of SmHfSc from Alexandria. Energies are from GGA-PBE.

Geometry as POSCAR:
```
SmHfSc
1.0
-3.638 0.826 2.656
0.628 -4.053 2.038
3.765 2.489 6.349
Hf Sm Sc
2 2 2
direct
0.663 0.663 0.303 Hf
0.337 0.337 0.697 Hf
0.823 0.823 0.676 Sm
0.177 0.177 0.324 Sm
0.748 0.252 0.000 Sc
0.252 0.748 0.000 Sc
```

Calculated values
DOS(E_F) (states/eV/cell): 8.35
Total magnetization (μB per formula unit): 0.0
Symmetry: C2/m


(B)
Here is an optimized crystal structure of SmHfSc from Alexandria. Energies are from GGA-PBE.

Geometry as POSCAR:
```
SmHfSc
1.0
4.537 -0.003 -0.545
0.035 3.330 0.271
1.254 2.551 10.422
Sm Hf Sc
2 2 2
direct
0.977 0.293 0.763 Sm
0.477 0.991 0.565 Sm
0.477 0.318 0.238 Hf
0.977 0.966 0.091 Hf
0.477 0.615 0.941 Sc
0.977 0.669 0.387 Sc
```

Calculated values
DOS(E_F) (states/eV/cell): 7.89
Total magnetization (μB per formula unit): 0.0
Symmetry: P2_1/m


Most stable pick: (B). Distance to second place: 214 meV/atom.


(A)
Here is an optimized crystal structure of SmHf2Sc from Alexandria. Energies are from GGA-PBE.

Geometry as POSCAR:
```
SmHf2Sc
1.0
-1.668 2.180 -1.789
-2.696 1.404 1.224
4.502 9.088 3.879
Sm Hf Sc
1 2 1
direct
0.500 0.500 0.500 Sm
0.080 0.080 0.761 Hf
0.254 0.254 0.239 Hf
0.666 0.666 0.001 Sc
```

Calculated values
DOS(E_F) (states/eV/cell): 6.43
Total magnetization (μB per formula unit): 0.0
Symmetry: R3m


(B)
Here is an optimized crystal structure of SmHf2Sc from Alexandria. Energies are from GGA-PBE.

Geometry as POSCAR:
```
SmHf2Sc
1.0
-3.521 1.070 2.895
-2.959 -0.223 -3.517
-0.666 -4.474 0.844
Sc Hf Sm
1 2 1
direct
0.500 0.500 0.500 Sc
0.000 0.000 0.500 Hf
0.000 0.500 0.000 Hf
0.500 0.000 0.000 Sm
```

Calculated values
DOS(E_F) (states/eV/cell): 4.42
Total magnetization (μB per formula unit): 0.0
Symmetry: P4/mmm


(C)
Here is an optimized crystal structure of SmHf2Sc from Alexandria. Energies are from GGA-PBE.

Geometry as POSCAR:
```
SmHf2Sc
1.0
3.256 0.000 0.000
1.628 2.820 0.000
1.628 0.940 10.795
Sc Hf Sm
1 2 1
direct
0.500 0.500 0.500 Sc
0.753 0.753 0.740 Hf
0.247 0.247 0.260 Hf
0.000 0.000 0.000 Sm
```

Calculated values
DOS(E_F) (states/eV/cell): 5.65
Total magnetization (μB per formula unit): 0.0
Symmetry: R-3m


Most stable pick: (A). Distance to second place: 5 meV/atom.


(A)
Here is an optimized crystal structure of Sm2HfSc from Alexandria. Energies are from GGA-PBE.

Geometry as POSCAR:
```
Sm2HfSc
1.0
-4.724 -0.240 -0.265
0.030 -3.832 2.939
-0.364 2.929 3.823
Sc Hf Sm
1 1 2
direct
0.500 0.000 0.000 Sc
0.500 0.500 0.500 Hf
0.000 0.000 0.500 Sm
0.000 0.500 0.000 Sm
```

Calculated values
DOS(E_F) (states/eV/cell): 5.42
Total magnetization (μB per formula unit): 0.0
Symmetry: P4/mmm


(B)
Here is an optimized crystal structure of Sm2HfSc from Alexandria. Energies are from GGA-PBE.

Geometry as POSCAR:
```
Sm2HfSc
1.0
-2.761 0.452 -1.934
-1.319 -2.620 -1.720
-7.807 -3.148 7.419
Sc Hf Sm
1 1 2
direct
0.500 0.500 0.500 Sc
0.000 0.000 0.000 Hf
0.748 0.748 0.757 Sm
0.252 0.252 0.243 Sm
```

Calculated values
DOS(E_F) (states/eV/cell): 5.59
Total magnetization (μB per formula unit): 0.0
Symmetry: R-3m


Most stable pick: (A). Distance to second place: 6 meV/atom.


(A)
Here is an optimized crystal structure of Sm2HfSc from Alexandria. Energies are from GGA-PBE.

Geometry as POSCAR:
```
Sm2HfSc
1.0
-1.724 2.627 1.318
-2.704 1.262 -1.647
-8.057 -5.738 5.303
Sm Hf Sc
2 1 1
direct
0.081 0.081 0.757 Sm
0.252 0.252 0.243 Sm
0.667 0.667 0.999 Hf
0.500 0.500 0.501 Sc
```

Calculated values
DOS(E_F) (states/eV/cell): 6.89
Total magnetization (μB per formula unit): 0.0
Symmetry: R3m


(B)
Here is an optimized crystal structure of Sm2HfSc from Alexandria. Energies are from GGA-PBE.

Geometry as POSCAR:
```
Sm2HfSc
1.0
-0.233 3.236 -1.043
0.195 -1.031 -3.243
-9.545 -0.792 -0.323
Sc Hf Sm
1 1 2
direct
0.500 0.500 0.000 Sc
0.500 0.500 0.500 Hf
0.000 0.000 0.742 Sm
0.000 0.000 0.258 Sm
```

Calculated values
DOS(E_F) (states/eV/cell): 6.71
Total magnetization (μB per formula unit): 0.0
Symmetry: P4/mmm


Most stable pick: (B). Distance to second place: 21 meV/atom.